Record 1
VASP calculation (GGA-PBEsol) on crystalline MnZn3 at its relaxed geometry.

Structure (CIF):
```
data_MnZn3
_space_group_name_H-M_alt 'C m m m'
_space_group_IT_number 65
_space_group_name_Hall '-C 2 2'
_cell_length_a 5.3171
_cell_length_b 7.4150
_cell_length_c 2.6982
_cell_angle_alpha 90.00
_cell_angle_beta 90.00
_cell_angle_gamma 90.00
loop_
_atom_site_label
_atom_site_type_symbol
_atom_site_fract_x
_atom_site_fract_y
_atom_site_fract_z
Mn1 Mn 0.0000 0.0000 0.0000
Zn1 Zn 0.0000 0.5000 0.0000
Zn2 Zn 0.2500 0.2500 0.5000
```

Values from the calculation:
Formation energy ... 69.2 meV per atom

***

Record 2
VASP calculation (GGA-PBEsol) on crystalline MnZn3 at its relaxed geometry.

Structure (CIF):
```
data_MnZn3
_space_group_name_H-M_alt 'P 4/m m m'
_space_group_IT_number 123
_space_group_name_Hall '-P 4 2'
_cell_length_a 2.7060
_cell_length_b 2.7060
_cell_length_c 7.2638
_cell_angle_alpha 90.00
_cell_angle_beta 90.00
_cell_angle_gamma 90.00
loop_
_atom_site_label
_atom_site_type_symbol
_atom_site_fract_x
_atom_site_fract_y
_atom_site_fract_z
Mn1 Mn 0.0000 0.0000 0.0000
Zn1 Zn 0.0000 0.0000 0.5000
Zn2 Zn 0.5000 0.5000 0.2412
```

Values from the calculation:
Formation energy ... 46.8 meV per atom

***

Record 3
VASP calculation (GGA-PBEsol) on crystalline Mn3Zn4 at its relaxed geometry.

Structure (CIF):
```
data_Mn3Zn4
_space_group_name_H-M_alt 'I 4/m m m'
_space_group_IT_number 139
_space_group_name_Hall '-I 4 2'
_cell_length_a 2.7106
_cell_length_b 2.7106
_cell_length_c 23.5558
_cell_angle_alpha 90.00
_cell_angle_beta 90.00
_cell_angle_gamma 90.00
loop_
_atom_site_label
_atom_site_type_symbol
_atom_site_fract_x
_atom_site_fract_y
_atom_site_fract_z
Mn1 Mn 0.0000 0.0000 0.0000
Mn2 Mn 0.0000 0.0000 0.2760
Zn1 Zn 0.0000 0.0000 0.1514
Zn2 Zn 0.0000 0.0000 0.4271
```

Values from the calculation:
Formation energy ... 41.3 meV per atom

***

Record 4
VASP calculation (GGA-PBEsol) on crystalline MnZn3 at its relaxed geometry.

Structure (CIF):
```
data_MnZn3
_space_group_name_H-M_alt 'P m m 2'
_space_group_IT_number 25
_space_group_name_Hall 'P 2 -2'
_cell_length_a 2.7422
_cell_length_b 4.2390
_cell_length_c 4.6072
_cell_angle_alpha 90.00
_cell_angle_beta 90.00
_cell_angle_gamma 90.00
loop_
_atom_site_label
_atom_site_type_symbol
_atom_site_fract_x
_atom_site_fract_y
_atom_site_fract_z
Mn1 Mn 0.0000 0.0000 0.0000
Zn1 Zn 0.0000 0.5000 0.3378
Zn2 Zn 0.5000 0.0000 0.5023
Zn3 Zn 0.5000 0.5000 0.8485
```

Values from the calculation:
Formation energy ... 77.0 meV per atom

***

Record 5
VASP calculation (GGA-PBEsol) on crystalline Mn3Zn at its relaxed geometry.

Structure (CIF):
```
data_Mn3Zn
_space_group_name_H-M_alt 'I 4/m m m'
_space_group_IT_number 139
_space_group_name_Hall '-I 4 2'
_cell_length_a 3.6785
_cell_length_b 3.6785
_cell_length_c 13.8474
_cell_angle_alpha 90.00
_cell_angle_beta 90.00
_cell_angle_gamma 90.00
loop_
_atom_site_label
_atom_site_type_symbol
_atom_site_fract_x
_atom_site_fract_y
_atom_site_fract_z
Mn1 Mn 0.0000 0.0000 0.1278
Mn2 Mn 0.0000 0.5000 0.0000
Mn3 Mn 0.0000 0.5000 0.2500
Zn1 Zn 0.0000 0.0000 0.3756
```

Values from the calculation:
Formation energy ... 162.7 meV per atom

***

Record 6
VASP calculation (GGA-PBEsol) on crystalline MnZn3 at its relaxed geometry.

Structure (CIF):
```
data_MnZn3
_space_group_name_H-M_alt 'P 1 2/m 1'
_space_group_IT_number 10
_space_group_name_Hall '-P 2y'
_cell_length_a 2.6307
_cell_length_b 3.9193
_cell_length_c 5.2672
_cell_angle_alpha 90.00
_cell_angle_beta 100.80
_cell_angle_gamma 90.00
loop_
_atom_site_label
_atom_site_type_symbol
_atom_site_fract_x
_atom_site_fract_y
_atom_site_fract_z
Mn1 Mn 0.0000 0.0000 0.0000
Zn1 Zn 0.0000 0.0000 0.5000
Zn2 Zn 0.4436 0.5000 0.7575
```

Values from the calculation:
Formation energy ... 70.1 meV per atom

***

| no. | energy (eV per atom) | total magnetization (μB per formula unit) | volume (Å³ per cell) |
| --- | --- | --- | --- |
| 1 | -3.558 | 2.62 | 106.38 |
| 2 | -3.580 | 2.73 | 53.19 |
| 3 | -5.046 | 2.51 | 173.08 |
| 4 | -3.550 | 2.90 | 53.55 |
| 5 | -7.554 | 1.77 | 187.38 |
| 6 | -3.557 | 2.83 | 53.35 |